{"formula": "LaGa2Pt2", "functional": "GGA-PBEsol", "state": "relaxed", "lattice": [[-2.230, -2.785, -2.219], [2.224, 0.955, -3.434], [3.526, -2.883, 4.052]], "species": ["Pt", "Pt", "Ga", "Ga", "La"], "frac_coords": [[0.750, 0.250, 0.500], [0.250, 0.750, 0.500], [0.620, 0.620, 0.240], [0.380, 0.380, 0.760], [0.000, 0.000, 0.000]], "e_form_ev_per_atom": -0.90, "dos_at_fermi_per_ev_atom": 0.657, "energy_ev_per_atom": -6.095}

{"formula": "Ag2RhPb", "functional": "GGA-PBEsol", "state": "relaxed", "lattice": [[-0.076, 3.392, 2.415], [-3.806, 0.914, -1.403], [0.323, -4.312, 2.475]], "species": ["Ag", "Ag", "Pb", "Rh"], "frac_coords": [[0.750, 0.250, 0.500], [0.000, 0.000, 0.000], [0.500, 0.500, 0.000], [0.250, 0.750, 0.500]], "e_form_ev_per_atom": 0.14, "dos_at_fermi_per_ev_atom": 0.424, "energy_ev_per_atom": -4.554}

{"formula": "TcMo2W", "functional": "GGA-PBEsol", "state": "relaxed", "lattice": [[4.401, 0.000, 0.000], [2.201, 3.812, 0.000], [2.201, 1.271, 3.594]], "species": ["Tc", "Mo", "Mo", "W"], "frac_coords": [[0.500, 0.500, 0.500], [0.750, 0.750, 0.750], [0.000, 0.000, 0.000], [0.250, 0.250, 0.250]], "e_form_ev_per_atom": 0.04, "dos_at_fermi_per_ev_atom": 0.831, "relative_energy_mev_per_atom": 8, "energy_ev_per_atom": -12.110}

{"formula": "MgCrSeN2", "functional": "GGA-PBEsol", "state": "relaxed", "lattice": [[3.919, 0.000, 0.000], [0.000, 3.919, 0.000], [0.000, 0.000, 5.176]], "species": ["Cr", "N", "N", "Se", "Mg"], "frac_coords": [[0.500, 0.500, 0.500], [0.000, 0.500, 0.000], [0.500, 0.000, 0.000], [0.000, 0.000, 0.500], [0.000, 0.000, 0.000]], "dos_at_fermi_per_ev_atom": 0.668, "formation_energy_uncorrected_kj_per_mol_fu": 596.2, "energy_ev_per_atom": -5.337}

{"formula": "Tl2MoF", "functional": "GGA-PBEsol", "state": "relaxed", "lattice": [[4.767, 0.000, 0.000], [2.384, 4.128, 0.000], [2.384, 1.376, 3.892]], "species": ["Mo", "F", "Tl", "Tl"], "frac_coords": [[0.500, 0.500, 0.500], [0.000, 0.000, 0.000], [0.750, 0.750, 0.750], [0.250, 0.250, 0.250]], "dos_at_fermi_per_ev_atom": 0.592, "formation_energy_uncorrected_kj_per_mol_fu": 120.0, "energy_ev_per_atom": -4.428}

{"formula": "RbAu", "functional": "GGA-PBEsol", "state": "relaxed", "lattice": [[-0.093, -2.236, -3.329], [3.851, -0.979, 0.550], [-1.119, -3.183, 2.170]], "species": ["Rb", "Au"], "frac_coords": [[0.500, 0.500, 0.500], [0.000, 0.000, 0.000]], "e_form_ev_per_atom": -0.10, "dos_at_fermi_per_ev_atom": 0.008, "energy_ev_per_atom": -2.579}

{"formula": "YMn6Ge6", "functional": "GGA-PBEsol", "state": "relaxed", "lattice": [[-5.034, -0.145, -0.739], [3.169, -0.693, -3.922], [0.020, -7.903, 1.413]], "species": ["Mn", "Mn", "Mn", "Mn", "Mn", "Mn", "Ge", "Ge", "Ge", "Ge", "Ge", "Ge", "Y"], "frac_coords": [[0.000, 0.500, 0.251], [0.500, 0.000, 0.251], [0.500, 0.000, 0.749], [0.000, 0.500, 0.749], [0.500, 0.500, 0.251], [0.500, 0.500, 0.749], [0.333, 0.667, 0.000], [0.333, 0.667, 0.500], [0.667, 0.333, 0.000], [0.000, 0.000, 0.345], [0.667, 0.333, 0.500], [0.000, 0.000, 0.655], [0.000, 0.000, 0.000]], "e_form_ev_per_atom": -0.34, "dos_at_fermi_per_ev_atom": 0.473, "energy_ev_per_atom": -7.648}

{"formula": "Mg2AlZn", "functional": "GGA-PBEsol", "state": "relaxed", "lattice": [[2.997, 0.000, 0.000], [0.000, 5.099, -0.096], [-1.498, -1.105, 4.855]], "species": ["Mg", "Mg", "Al", "Zn"], "frac_coords": [[0.235, 0.717, 0.470], [0.011, 0.026, 0.022], [0.769, 0.239, 0.537], [0.485, 0.518, 0.971]], "e_form_ev_per_atom": 0.01, "dos_at_fermi_per_ev_atom": 0.387, "energy_ev_per_atom": -2.271}

{"formula": "InGa2Te2", "functional": "GGA-PBEsol", "state": "relaxed", "lattice": [[5.409, 0.000, 0.000], [-2.705, 5.188, -0.022], [0.000, 2.840, 4.604]], "species": ["Ga", "Ga", "In", "Te", "Te"], "frac_coords": [[0.358, 0.716, 0.642], [0.642, 0.284, 0.358], [0.000, 0.000, 0.000], [0.250, 0.500, 0.250], [0.750, 0.500, 0.750]], "dos_at_fermi_per_ev_atom": 0.241, "formation_energy_uncorrected_kj_per_mol_fu": -64.0, "energy_ev_per_atom": -3.476}

{"formula": "ZrNi2BrN", "functional": "GGA-PBEsol", "state": "relaxed", "lattice": [[-1.662, 2.729, 3.380], [-4.333, -1.296, -1.084], [0.339, -3.920, 3.331]], "species": ["Ni", "Ni", "Zr", "N", "Br"], "frac_coords": [[0.500, 0.000, 0.000], [0.000, 0.500, 0.000], [0.000, 0.000, 0.000], [0.500, 0.500, 0.500], [0.000, 0.000, 0.500]], "dos_at_fermi_per_ev_atom": 0.561, "formation_energy_uncorrected_kj_per_mol_fu": 859.8, "energy_ev_per_atom": -4.578}

{"formula": "Cd2HgPb", "functional": "GGA-PBEsol", "state": "relaxed", "lattice": [[-2.431, -0.405, 2.312], [-0.214, -2.890, 1.737], [4.987, 2.560, 8.161]], "species": ["Pb", "Cd", "Cd", "Hg"], "frac_coords": [[0.251, 0.251, 0.248], [0.006, 0.006, 0.982], [0.750, 0.750, 0.751], [0.494, 0.494, 0.518]], "e_form_ev_per_atom": 0.04, "dos_at_fermi_per_ev_atom": 0.404, "relative_energy_mev_per_atom": 8, "energy_ev_per_atom": -1.700}

{"formula": "BeBN2", "functional": "GGA-PBEsol", "state": "relaxed", "lattice": [[3.308, 0.000, 0.000], [1.654, 2.865, 0.000], [1.654, 0.955, 2.701]], "species": ["N", "N", "Be", "B"], "frac_coords": [[0.250, 0.250, 0.250], [0.750, 0.750, 0.750], [0.000, 0.000, 0.000], [0.500, 0.500, 0.500]], "dos_at_fermi_per_ev_atom": 0.344, "relative_energy_mev_per_atom": 1225, "formation_energy_uncorrected_kj_per_mol_fu": 576.2, "energy_ev_per_atom": -5.524}

{"formula": "CaCr3", "functional": "GGA-PBEsol", "state": "relaxed", "lattice": [[-0.038, -1.428, 2.448], [2.314, -0.070, 1.636], [-1.864, 6.440, 5.370]], "species": ["Cr", "Cr", "Cr", "Ca"], "frac_coords": [[0.232, 0.232, 0.303], [0.768, 0.768, 0.697], [0.500, 0.500, 0.500], [0.000, 0.000, 0.000]], "e_form_ev_per_atom": 0.90, "dos_at_fermi_per_ev_atom": 1.198, "energy_ev_per_atom": -7.317}

{"formula": "Ba3CaNb", "functional": "GGA-PBEsol", "state": "relaxed", "lattice": [[-1.599, 6.073, -0.560], [-1.871, -1.039, -5.931], [-5.805, -1.338, 2.066]], "species": ["Ba", "Ba", "Ba", "Ca", "Nb"], "frac_coords": [[0.000, 0.000, 0.500], [0.500, 0.000, 0.000], [0.000, 0.500, 0.000], [0.000, 0.000, 0.000], [0.500, 0.500, 0.500]], "e_form_ev_per_atom": 1.47, "dos_at_fermi_per_ev_atom": 1.610, "energy_ev_per_atom": -2.406}

{"formula": "Tl2AgPb", "functional": "GGA-PBEsol", "state": "relaxed", "lattice": [[3.384, 0.000, 0.000], [0.000, 3.384, 0.000], [0.000, 0.000, 8.785]], "species": ["Pb", "Ag", "Tl", "Tl"], "frac_coords": [[0.500, 0.500, 0.712], [0.000, 0.000, 0.497], [0.500, 0.500, 0.286], [0.000, 0.000, 0.006]], "e_form_ev_per_atom": 0.06, "dos_at_fermi_per_ev_atom": 0.435, "energy_ev_per_atom": -3.082}

{"formula": "BaBe2CrHg", "functional": "GGA-PBEsol", "state": "relaxed", "lattice": [[5.341, 0.000, 0.000], [0.000, 5.341, 0.000], [0.000, 0.000, 5.926]], "species": ["Be", "Be", "Ba", "Hg", "Cr"], "frac_coords": [[0.000, 0.500, 0.000], [0.500, 0.000, 0.000], [0.000, 0.000, 0.000], [0.000, 0.000, 0.500], [0.500, 0.500, 0.500]], "e_form_ev_per_atom": 2.07, "dos_at_fermi_per_ev_atom": 0.739, "energy_ev_per_atom": -2.121}

{"formula": "BaC3", "functional": "GGA-PBEsol", "state": "relaxed", "lattice": [[-2.764, 3.918, 1.021], [-2.955, -1.107, -3.752], [-2.768, -2.731, 2.985]], "species": ["C", "C", "C", "C", "C", "C", "Ba", "Ba"], "frac_coords": [[0.500, 0.000, 0.750], [0.250, 0.500, 0.000], [0.750, 0.500, 0.000], [0.000, 0.750, 0.500], [0.500, 0.000, 0.250], [0.000, 0.250, 0.500], [0.000, 0.000, 0.000], [0.500, 0.500, 0.500]], "e_form_ev_per_atom": 3.46, "dos_at_fermi_per_ev_atom": 0.870, "relative_energy_mev_per_atom": 2476, "energy_ev_per_atom": -4.306}

{"formula": "CdNiAu3", "functional": "GGA-PBEsol", "state": "relaxed", "lattice": [[4.989, 0.000, 0.000], [0.000, 4.989, 0.000], [0.000, 0.000, 4.989]], "species": ["Au", "Au", "Au", "Ni", "Cd"], "frac_coords": [[0.000, 0.000, 0.500], [0.000, 0.500, 0.000], [0.500, 0.000, 0.000], [0.500, 0.500, 0.500], [0.000, 0.000, 0.000]], "e_form_ev_per_atom": 1.36, "dos_at_fermi_per_ev_atom": 1.980, "energy_ev_per_atom": -2.469}

{"formula": "HPbIO2", "functional": "GGA-PBEsol", "state": "relaxed", "lattice": [[-0.899, -3.155, 1.263], [2.581, -1.979, -3.104], [3.497, 0.133, 2.823]], "species": ["O", "O", "I", "Pb", "H"], "frac_coords": [[0.000, 0.000, 0.500], [0.000, 0.500, 0.000], [0.500, 0.000, 0.000], [0.500, 0.500, 0.500], [0.000, 0.000, 0.000]], "dos_at_fermi_per_ev_atom": 0.661, "energy_ev_per_atom": -3.540}

{"formula": "K2Mn2O3", "functional": "GGA-PBEsol", "state": "relaxed", "lattice": [[-1.109, 3.114, 4.970], [3.614, -5.245, 0.814], [5.243, 3.458, -0.996]], "species": ["K", "K", "K", "K", "Mn", "Mn", "Mn", "Mn", "O", "O", "O", "O", "O", "O"], "frac_coords": [[0.184, 0.927, 0.139], [0.184, 0.427, 0.361], [0.816, 0.573, 0.639], [0.816, 0.073, 0.861], [0.332, 0.572, 0.881], [0.332, 0.072, 0.619], [0.668, 0.428, 0.119], [0.668, 0.928, 0.381], [0.413, 0.788, 0.629], [0.413, 0.288, 0.871], [0.587, 0.212, 0.371], [0.000, 0.000, 0.500], [0.587, 0.712, 0.129], [0.000, 0.500, 0.000]], "dos_at_fermi_per_ev_atom": 0.070, "formation_energy_uncorrected_kj_per_mol_fu": -825.5, "energy_ev_per_atom": -6.585}

{"formula": "HgBr2", "functional": "GGA-PBEsol", "state": "relaxed", "lattice": [[3.969, 0.000, 0.000], [-1.984, 6.684, 0.055], [0.000, -0.067, 7.513]], "species": ["Hg", "Hg", "Br", "Br", "Br", "Br"], "frac_coords": [[0.104, 0.208, 0.633], [0.838, 0.676, 0.957], [0.297, 0.594, 0.185], [0.309, 0.619, 0.691], [0.576, 0.151, 0.411], [0.043, 0.086, 0.956]], "formation_energy_uncorrected_kj_per_mol_fu": -109.1, "energy_ev_per_atom": -1.813}

{"formula": "Zn2Ir", "functional": "GGA-PBEsol", "state": "relaxed", "lattice": [[-5.783, 4.418, 3.157], [-5.656, 3.045, -4.655], [-7.400, -2.834, 0.377]], "species": ["Zn", "Zn", "Zn", "Zn", "Zn", "Zn", "Zn", "Zn", "Zn", "Zn", "Zn", "Zn", "Zn", "Zn", "Zn", "Zn", "Ir", "Ir", "Ir", "Ir", "Ir", "Ir", "Ir", "Ir"], "frac_coords": [[0.125, 0.625, 0.625], [0.058, 0.442, 0.058], [0.442, 0.442, 0.058], [0.625, 0.625, 0.125], [0.192, 0.808, 0.192], [0.625, 0.125, 0.625], [0.625, 0.625, 0.625], [0.808, 0.808, 0.192], [0.442, 0.058, 0.058], [0.808, 0.192, 0.808], [0.058, 0.058, 0.442], [0.058, 0.442, 0.442], [0.442, 0.058, 0.442], [0.192, 0.192, 0.808], [0.808, 0.192, 0.192], [0.192, 0.808, 0.808], [0.776, 0.408, 0.408], [0.408, 0.408, 0.776], [0.474, 0.842, 0.842], [0.842, 0.474, 0.842], [0.842, 0.842, 0.842], [0.408, 0.776, 0.408], [0.408, 0.408, 0.408], [0.842, 0.842, 0.474]], "e_form_ev_per_atom": -0.12, "dos_at_fermi_per_ev_atom": 0.295, "energy_ev_per_atom": -4.450}

{"formula": "Ca4YTe", "functional": "GGA-PBEsol", "state": "relaxed", "lattice": [[-5.490, -2.680, 2.743], [-3.697, -4.361, -3.487], [-0.063, -6.469, 1.727]], "species": ["Te", "Y", "Ca", "Ca", "Ca", "Ca"], "frac_coords": [[0.750, 0.750, 0.750], [0.000, 0.000, 0.000], [0.374, 0.374, 0.878], [0.374, 0.878, 0.374], [0.878, 0.374, 0.374], [0.374, 0.374, 0.374]], "dos_at_fermi_per_ev_atom": 1.065, "formation_energy_uncorrected_kj_per_mol_fu": 59.7, "energy_ev_per_atom": -3.044}

{"formula": "ZrTeP", "functional": "GGA-PBEsol", "state": "relaxed", "lattice": [[3.660, 0.000, 0.000], [0.000, 3.660, 0.000], [0.000, 0.000, 9.745]], "species": ["Te", "Te", "Zr", "Zr", "P", "P"], "frac_coords": [[0.000, 0.500, 0.346], [0.500, 0.000, 0.654], [0.000, 0.500, 0.801], [0.500, 0.000, 0.199], [0.500, 0.500, 0.000], [0.000, 0.000, 0.000]], "dos_at_fermi_per_ev_atom": 0.310, "formation_energy_uncorrected_kj_per_mol_fu": -289.6, "energy_ev_per_atom": -7.136}

{"formula": "TaBe2W", "functional": "GGA-PBEsol", "state": "relaxed", "lattice": [[3.258, 0.000, 0.000], [0.000, 3.307, 0.000], [-1.629, 0.000, 4.464]], "species": ["W", "Ta", "Be", "Be"], "frac_coords": [[0.399, 0.500, 0.797], [0.096, 0.000, 0.191], [0.685, 0.500, 0.369], [0.818, 0.000, 0.636]], "e_form_ev_per_atom": -0.20, "dos_at_fermi_per_ev_atom": 0.445, "relative_energy_mev_per_atom": 0, "energy_ev_per_atom": -8.785}

{"formula": "Tm4CdSe7", "functional": "GGA-PBEsol", "state": "relaxed", "lattice": [[3.883, 0.000, 0.000], [-1.942, 6.461, -0.053], [0.000, -3.106, 11.496]], "species": ["Tm", "Tm", "Tm", "Tm", "Cd", "Se", "Se", "Se", "Se", "Se", "Se", "Se"], "frac_coords": [[0.992, 0.985, 0.003], [0.684, 0.369, 0.789], [0.297, 0.595, 0.188], [0.889, 0.778, 0.572], [0.118, 0.237, 0.420], [0.960, 0.919, 0.220], [0.265, 0.530, 0.646], [0.654, 0.309, 0.044], [0.332, 0.664, 0.945], [0.747, 0.495, 0.348], [0.033, 0.065, 0.789], [0.528, 0.055, 0.536]], "formation_energy_uncorrected_kj_per_mol_fu": -1858.8, "energy_ev_per_atom": -5.584}

{"formula": "Mg2AgSe", "functional": "GGA-PBEsol", "state": "relaxed", "lattice": [[-0.950, -3.268, 1.856], [2.158, -3.187, -0.459], [4.073, -0.386, 5.453]], "species": ["Mg", "Mg", "Ag", "Se"], "frac_coords": [[0.752, 0.752, 0.744], [0.248, 0.248, 0.256], [0.000, 0.000, 0.000], [0.500, 0.500, 0.500]], "dos_at_fermi_per_ev_atom": 0.244, "formation_energy_uncorrected_kj_per_mol_fu": -176.7, "energy_ev_per_atom": -3.107}